Record 1
# Nd2MnB10 (GGA-PBE, optimized geometry)
data_Nd2MnB10
_space_group_name_H-M_alt 'P 1'
_space_group_IT_number 1
_space_group_name_Hall 'P 1'
_cell_length_a 5.6904
_cell_length_b 11.3299
_cell_length_c 4.1901
_cell_angle_alpha 90.00
_cell_angle_beta 90.00
_cell_angle_gamma 90.00
loop_
_atom_site_label
_atom_site_type_symbol
_atom_site_fract_x
_atom_site_fract_y
_atom_site_fract_z
Nd1 Nd 0.2027 0.1355 0.0000
Nd2 Nd 0.2973 0.6355 0.0000
Nd3 Nd 0.7027 0.3645 0.0000
Nd4 Nd 0.7973 0.8645 0.0000
Mn1 Mn 0.0000 0.5000 0.5000
Mn2 Mn 0.5000 0.0000 0.5000
B1 B 0.0405 0.3120 0.5000
B2 B 0.1269 0.9600 0.5000
B3 B 0.1493 0.8029 0.5000
B4 B 0.2079 0.3857 0.2022
B5 B 0.2079 0.3857 0.7978
B6 B 0.2921 0.8857 0.2022
B7 B 0.2921 0.8857 0.7978
B8 B 0.3507 0.3029 0.5000
B9 B 0.3731 0.4600 0.5000
B10 B 0.4595 0.8120 0.5000
B11 B 0.5405 0.1880 0.5000
B12 B 0.6269 0.5400 0.5000
B13 B 0.6493 0.6971 0.5000
B14 B 0.7079 0.1143 0.2022
B15 B 0.7079 0.1143 0.7978
B16 B 0.7921 0.6143 0.2022
B17 B 0.7921 0.6143 0.7978
B18 B 0.8507 0.1971 0.5000
B19 B 0.8731 0.0400 0.5000
B20 B 0.9595 0.6880 0.5000
# **E**: -7.05 eV per atom
# **Fermi-level density of states**: 7.48 states/eV per cell

=====

Record 2
# NdMn4B4 (GGA-PBE, optimized geometry)
data_NdMn4B4
_space_group_name_H-M_alt 'P 1'
_space_group_IT_number 1
_space_group_name_Hall 'P 1'
_cell_length_a 7.1283
_cell_length_b 7.1283
_cell_length_c 3.9165
_cell_angle_alpha 90.00
_cell_angle_beta 90.00
_cell_angle_gamma 90.00
loop_
_atom_site_label
_atom_site_type_symbol
_atom_site_fract_x
_atom_site_fract_y
_atom_site_fract_z
Nd1 Nd 0.2500 0.2500 0.2500
Nd2 Nd 0.7500 0.7500 0.7500
Mn1 Mn 0.1222 0.6346 0.1342
Mn2 Mn 0.1346 0.8778 0.6342
Mn3 Mn 0.3654 0.6222 0.6342
Mn4 Mn 0.3778 0.8654 0.1342
Mn5 Mn 0.6222 0.1346 0.8658
Mn6 Mn 0.6346 0.3778 0.3658
Mn7 Mn 0.8654 0.1222 0.3658
Mn8 Mn 0.8778 0.3654 0.8658
B1 B 0.0544 0.9201 0.1372
B2 B 0.0799 0.5544 0.6372
B3 B 0.4201 0.9456 0.6372
B4 B 0.4456 0.5799 0.1372
B5 B 0.5544 0.4201 0.8628
B6 B 0.5799 0.0544 0.3628
B7 B 0.9201 0.4456 0.3628
B8 B 0.9456 0.0799 0.8628
# **E**: -7.97 eV per atom
# **Fermi-level density of states**: 9.93 states/eV per cell